[1]
Entry from the Alexandria database: Tb2SmEu after structural relaxation (PBE).

a = 3.6515 Å, b = 3.6515 Å, c = 10.3085 Å
α = 90.00°, β = 90.00°, γ = 90.00°
Fractional coordinates of all 4 atoms:
Tb1 0.0000 0.0000 0.2364
Tb2 0.0000 0.0000 0.7636
Sm1 0.5000 0.5000 0.0000
Eu1 0.5000 0.5000 0.5000

Computed properties:
polymorph energy (0 for the lowest one) = 0 meV/atom
uncorrected energy = -24.03 eV for the cell shown
crystal system = tetragonal
DFT formation energy = 0.056 eV per atom



[2]
Entry from the Alexandria database: SrAlPtO6 after structural relaxation (PBE).

a = 5.1144 Å, b = 5.1144 Å, c = 10.9576 Å
α = 90.00°, β = 90.00°, γ = 120.00°
Fractional coordinates of all 18 atoms:
Sr1 0.0000 0.0000 0.0000
Sr2 0.0000 0.0000 0.5000
Al1 0.3333 0.6667 0.2500
Al2 0.6667 0.3333 0.7500
Pt1 0.3333 0.6667 0.7500
Pt2 0.6667 0.3333 0.2500
O1 0.0073 0.3743 0.1536
O2 0.0073 0.6331 0.3464
O3 0.3669 0.3743 0.3464
O4 0.3669 0.9927 0.1536
O5 0.3743 0.0073 0.6536
O6 0.3743 0.3669 0.8464
O7 0.6257 0.6331 0.1536
O8 0.6257 0.9927 0.3464
O9 0.6331 0.0073 0.8464
O10 0.6331 0.6257 0.6536
O11 0.9927 0.3669 0.6536
O12 0.9927 0.6257 0.8464

Computed properties:
uncorrected energy = -110.57 eV for the cell shown
crystal system = trigonal



[3]
Entry from the Alexandria database: Ce6N5 after structural relaxation (PBE).

a = 6.1644 Å, b = 6.1644 Å, c = 6.1587 Å
α = 99.68°, β = 99.68°, γ = 120.01°
Fractional coordinates of all 11 atoms:
Ce1 0.0771 0.4166 0.7478
Ce2 0.2448 0.2448 0.2560
Ce3 0.4166 0.0771 0.7478
Ce4 0.5834 0.9229 0.2522
Ce5 0.7552 0.7552 0.7440
Ce6 0.9229 0.5834 0.2522
N1 0.0000 0.0000 0.5000
N2 0.1652 0.8348 0.0000
N3 0.3274 0.6726 0.5000
N4 0.6726 0.3274 0.5000
N5 0.8348 0.1652 0.0000

Computed properties:
uncorrected energy = -91.96 eV for the cell shown
crystal system = monoclinic



[4]
Entry from the Alexandria database: LiNd2Th after structural relaxation (PBE).

a = 3.6593 Å, b = 3.6593 Å, c = 9.1583 Å
α = 90.00°, β = 90.00°, γ = 90.00°
Fractional coordinates of all 4 atoms:
Li1 0.0000 0.0000 0.0000
Nd1 0.5000 0.5000 0.2381
Nd2 0.5000 0.5000 0.7619
Th1 0.0000 0.0000 0.5000

Computed properties:
polymorph energy (0 for the lowest one) = 0 meV/atom
uncorrected energy = -18.72 eV for the cell shown
crystal system = tetragonal
DFT formation energy = 0.037 eV per atom



Which of these has the highest uncorrected energy?
LiNd2Th



Among the records above, which one has the highest uncorrected energy?
LiNd2Th